## TiFe3B (GGA-PBE)

Data for TiFe3B after structural relaxation.

E   -8.183 eV/atom
Space-group type   Pm-3m (221)

Cell: 3.790 3.790 3.790 Å, 90.00 90.00 90.00°
Site moments in Bohr magnetons follow the coordinates.
Atoms (fractional coordinates):
1 B 0.000 0.000 0.000  -0.01
2 Fe 0.000 0.500 0.000  0.17
3 Fe 0.000 0.000 0.500  0.18
4 Fe 0.500 0.000 0.000  0.12
5 Ti 0.500 0.500 0.500  -0.09


## RbZrTlI6 (GGA-PBE)

Data for RbZrTlI6 after structural relaxation.

E   -3.341 eV/atom
Formation energy (no corrections)   -987 meV per atom
Space-group type   P-31c (163)

Cell: 8.462 8.462 14.885 Å, 90.00 90.00 120.00°
Atoms (fractional coordinates):
1 Rb 0.000 0.000 0.000
2 Rb 0.000 0.000 0.500
3 Zr 0.667 0.333 0.250
4 Zr 0.333 0.667 0.750
5 Tl 0.333 0.667 0.250
6 Tl 0.667 0.333 0.750
7 I 0.657 0.606 0.137
8 I 0.949 0.343 0.137
9 I 0.343 0.949 0.637
10 I 0.051 0.657 0.863
11 I 0.394 0.343 0.363
12 I 0.949 0.606 0.363
13 I 0.606 0.949 0.863
14 I 0.657 0.051 0.363
15 I 0.051 0.394 0.637
16 I 0.394 0.051 0.137
17 I 0.606 0.657 0.637
18 I 0.343 0.394 0.863


## TaSeI2N (GGA-PBE)

Data for TaSeI2N after structural relaxation.

E   -3.876 eV/atom
Formation energy (no corrections)   1476 meV per atom
Space-group type   P4/mmm (123)

Cell: 5.925 5.925 3.621 Å, 90.00 90.00 90.00°
Site moments in Bohr magnetons follow the coordinates.
Atoms (fractional coordinates):
1 I 0.000 0.500 0.000  -0.04
2 I 0.500 0.000 0.000  -0.04
3 N 0.000 0.000 0.500  0.01
4 Se 0.000 0.000 0.000  0.01
5 Ta 0.500 0.500 0.500  1.74


## SrNdOs2O8 (GGA-PBE)

Data for SrNdOs2O8 after structural relaxation.

E   -7.332 eV/atom
Formation energy (no corrections)   -1617 meV per atom
Space-group type   P-3m1 (164)

Cell: 5.982 5.982 7.335 Å, 90.00 90.00 120.00°
Site moments in Bohr magnetons follow the coordinates.
Atoms (fractional coordinates):
1 Sr 0.000 0.000 0.000  0.01
2 Nd 0.000 0.000 0.500  0.02
3 Os 0.667 0.333 0.197  0.86
4 Os 0.333 0.667 0.803  0.86
5 O 0.333 0.667 0.047  0.16
6 O 0.329 0.164 0.279  0.11
7 O 0.836 0.165 0.279  0.11
8 O 0.667 0.333 0.953  0.16
9 O 0.164 0.835 0.721  0.11
10 O 0.671 0.836 0.721  0.11
11 O 0.165 0.329 0.721  0.11
12 O 0.835 0.671 0.279  0.11


## Ac6Co2AuI3 (GGA-PBE)

Data for Ac6Co2AuI3 after structural relaxation.

E   -4.640 eV/atom
Formation energy (no corrections)   -741 meV per atom
Space-group type   C2/m (12)

Cell: 7.609 7.609 8.978 Å, 98.12 98.12 120.00°
Atoms (fractional coordinates):
1 Ac 0.938 0.581 0.815
2 Ac 0.704 0.704 0.184
3 Ac 0.062 0.419 0.185
4 Ac 0.581 0.938 0.815
5 Ac 0.296 0.296 0.816
6 Ac 0.419 0.062 0.185
7 Co 0.333 0.667 0.000
8 Co 0.667 0.333 0.000
9 Au 0.000 0.000 0.000
10 I 0.165 0.835 0.500
11 I 0.835 0.165 0.500
12 I 0.500 0.500 0.500


## K3H4Se4 (GGA-PBE)

Data for K3H4Se4 after structural relaxation.

E   -3.295 eV/atom
Space-group type   P1 (1)

Cell: 4.991 4.751 12.485 Å, 74.81 83.38 89.92°
Site moments in Bohr magnetons follow the coordinates.
Atoms (fractional coordinates):
1 K 0.171 0.548 0.649  0.00
2 K 0.722 0.424 0.368  0.00
3 K 0.042 0.126 0.065  0.00
4 H 0.624 0.641 0.809  0.00
5 H 0.324 0.810 0.250  0.00
6 H 0.650 0.157 0.732  0.00
7 H 0.433 0.353 0.180  0.00
8 Se 0.591 0.339 0.888  0.31
9 Se 0.542 0.614 0.086  0.23
10 Se 0.221 0.935 0.346  0.03
11 Se 0.679 0.051 0.627  0.06


## Pu2PaCuS5 (GGA-PBE)

Data for Pu2PaCuS5 after structural relaxation.

E   -8.412 eV/atom
Formation energy (no corrections)   -1424 meV per atom
Space-group type   Cmc2_1 (36)

Cell: 3.851 8.334 11.904 Å, 90.00 90.00 103.36°
Site moments in Bohr magnetons follow the coordinates.
Atoms (fractional coordinates):
1 Pu 0.885 0.770 0.844  5.26
2 Pu 0.116 0.231 0.693  -5.25
3 Pu 0.115 0.230 0.344  5.26
4 Pu 0.884 0.769 0.193  -5.25
5 Pa 0.812 0.624 0.524  0.20
6 Pa 0.188 0.376 0.024  0.20
7 Cu 0.554 0.107 0.924  0.00
8 Cu 0.446 0.893 0.424  0.00
9 S 0.352 0.704 0.019  0.00
10 S 0.691 0.381 0.860  0.01
11 S 0.495 0.989 0.754  0.00
12 S 0.303 0.606 0.685  -0.02
13 S 0.976 0.951 0.521  0.00
14 S 0.648 0.296 0.519  0.00
15 S 0.309 0.619 0.360  0.01
16 S 0.505 0.011 0.254  0.00
17 S 0.697 0.394 0.185  -0.02
18 S 0.024 0.049 0.021  0.00


## Hf2CuMoW (GGA-PBE)

Data for Hf2CuMoW after structural relaxation.

E   -7.997 eV/atom
Space-group type   P4/mmm (123)

Cell: 4.949 4.566 4.949 Å, 90.00 90.00 90.00°
Atoms (fractional coordinates):
1 Mo 0.500 0.500 0.500
2 Hf 0.000 0.000 0.500
3 Hf 0.500 0.000 0.000
4 Cu 0.000 0.500 0.000
5 W 0.000 0.000 0.000